<i>
ZrTaSe2 | PBE | relaxed

a = 3.521 Å, b = 3.521 Å, c = 6.251 Å
α = 90.00°, β = 90.00°, γ = 90.00°
Fractional positions:
Zr: 0.000 0.000 0.000
Ta: 0.500 0.500 0.695
Se: 0.000 0.000 0.535
Se: 0.500 0.500 0.182

Output
Fermi-level density of states = 2.641 states/eV/f.u.
V = 19.38 Å³ per atom


<ii>
ZrTaSe2 | PBE | relaxed

a = 3.176 Å, b = 3.176 Å, c = 9.614 Å
α = 90.00°, β = 90.00°, γ = 105.58°
Fractional positions:
Zr: 0.000 0.000 0.000
Ta: 0.500 0.500 0.762
Se: 0.000 0.000 0.583
Se: 0.500 0.500 0.190

Output
Fermi-level density of states = 2.344 states/eV/f.u.
V = 23.36 Å³ per atom


Which structure loses on stability? <ii> does.